This record from Alexandria describes a geometry-optimized Rb2ErCoO4 structure. The functional is PBE+U.

**E_tot**: -356.3 eV/cell

a b c (Å): 5.602 12.977 23.118
angles (deg): 90.00 90.00 90.00
Space group Fddd (No. 70, origin choice 2)
Unique sites:
Rb: 0.125 0.125 0.318
Er: 0.125 0.125 0.125
Co: 0.125 0.125 0.625
O: 0.095 0.279 0.845